No. 1
Computed, not measured: a relaxed structure of AcTb2Tm6 at the GGA-PBE level of DFT.

Geometry as CIF:
```
data_AcTb2Tm6
_chemical_formula_sum 'Ac1 Tb2 Tm6'
_symmetry_space_group_name_H-M 'P 1'
_symmetry_Int_Tables_number 1
_symmetry_space_group_name_Hall 'P 1'
_cell_length_a 3.603
_cell_length_b 3.603
_cell_length_c 26.066
_cell_angle_alpha 90.00
_cell_angle_beta 90.00
_cell_angle_gamma 120.00
loop_
_atom_site_label
_atom_site_fract_x
_atom_site_fract_y
_atom_site_fract_z
Ac1 0.000 0.000 0.000
Tb1 0.333 0.667 0.330
Tb2 0.333 0.667 0.670
Tm1 0.000 0.000 0.222
Tm2 0.000 0.000 0.436
Tm3 0.000 0.000 0.564
Tm4 0.000 0.000 0.778
Tm5 0.333 0.667 0.118
Tm6 0.333 0.667 0.882
```

Output
offset from the most stable computed form: 0 meV/atom
D(E_F): 1.721 states/eV/atom



No. 2
Computed, not measured: a relaxed structure of AcTb2Tm6 at the GGA-PBE level of DFT.

Geometry as CIF:
```
data_AcTb2Tm6
_chemical_formula_sum 'Ac1 Tb2 Tm6'
_symmetry_space_group_name_H-M 'P 1'
_symmetry_Int_Tables_number 1
_symmetry_space_group_name_Hall 'P 1'
_cell_length_a 9.306
_cell_length_b 9.306
_cell_length_c 9.306
_cell_angle_alpha 42.88
_cell_angle_beta 42.88
_cell_angle_gamma 42.88
loop_
_atom_site_label
_atom_site_fract_x
_atom_site_fract_y
_atom_site_fract_z
Ac1 0.000 0.000 0.000
Tb1 0.240 0.240 0.240
Tb2 0.420 0.420 0.420
Tm1 0.219 0.715 0.715
Tm2 0.442 0.954 0.954
Tm3 0.715 0.219 0.715
Tm4 0.715 0.715 0.219
Tm5 0.954 0.442 0.954
Tm6 0.954 0.954 0.442
```

Output
offset from the most stable computed form: 309 meV/atom
D(E_F): 1.671 states/eV/atom



No. 3
Computed, not measured: a relaxed structure of AcTb2Tm at the GGA-PBE level of DFT.

Geometry as CIF:
```
data_AcTb2Tm
_chemical_formula_sum 'Ac2 Tb4 Tm2'
_symmetry_space_group_name_H-M 'P 1'
_symmetry_Int_Tables_number 1
_symmetry_space_group_name_Hall 'P 1'
_cell_length_a 3.669
_cell_length_b 5.096
_cell_length_c 14.731
_cell_angle_alpha 90.00
_cell_angle_beta 90.00
_cell_angle_gamma 90.00
loop_
_atom_site_label
_atom_site_fract_x
_atom_site_fract_y
_atom_site_fract_z
Ac1 0.250 0.250 0.074
Ac2 0.750 0.750 0.926
Tb1 0.250 0.250 0.559
Tb2 0.250 0.250 0.795
Tb3 0.750 0.750 0.205
Tb4 0.750 0.750 0.441
Tm1 0.250 0.250 0.322
Tm2 0.750 0.750 0.678
```

Output
offset from the most stable computed form: 1 meV/atom
D(E_F): 1.312 states/eV/atom



No. 4
Computed, not measured: a relaxed structure of Ac3TbTm at the GGA-PBE level of DFT.

Geometry as CIF:
```
data_Ac3TbTm
_chemical_formula_sum 'Ac12 Tb4 Tm4'
_symmetry_space_group_name_H-M 'P 1'
_symmetry_Int_Tables_number 1
_symmetry_space_group_name_Hall 'P 1'
_cell_length_a 6.504
_cell_length_b 9.390
_cell_length_c 13.213
_cell_angle_alpha 90.00
_cell_angle_beta 90.00
_cell_angle_gamma 90.00
loop_
_atom_site_label
_atom_site_fract_x
_atom_site_fract_y
_atom_site_fract_z
Ac1 0.089 0.173 0.075
Ac2 0.089 0.327 0.425
Ac3 0.139 0.250 0.750
Ac4 0.361 0.750 0.750
Ac5 0.411 0.673 0.425
Ac6 0.411 0.827 0.075
Ac7 0.589 0.173 0.925
Ac8 0.589 0.327 0.575
Ac9 0.639 0.250 0.250
Ac10 0.861 0.750 0.250
Ac11 0.911 0.673 0.575
Ac12 0.911 0.827 0.925
Tb1 0.250 0.000 0.557
Tb2 0.250 0.500 0.943
Tb3 0.750 0.000 0.443
Tb4 0.750 0.500 0.057
Tm1 0.250 0.000 0.307
Tm2 0.250 0.500 0.193
Tm3 0.750 0.000 0.693
Tm4 0.750 0.500 0.807
```

Output
uncorrected energy: -4.0973 eV per atom
D(E_F): 1.460 states/eV/atom



What is the D(E_F) in the first record? 1.721 states/eV/atom